The following is a DFT calculation (GGA-PBE) of a relaxed VIn2Ge2 crystal. Values from VASP.

Cell and atoms, written as Quantum ESPRESSO input:
```
&SYSTEM
  ibrav = 0, nat = 10, ntyp = 3
/
ATOMIC_SPECIES
V 50.94 V.upf
In 114.82 In.upf
Ge 72.64 Ge.upf
ATOMIC_POSITIONS angstrom
V 0.000 0.000 0.000
V 3.381 3.381 0.000
In 1.221 2.160 2.265
In 2.160 5.541 2.265
In 4.602 1.221 2.265
In 5.541 4.602 2.265
Ge 0.915 4.296 0.000
Ge 2.466 0.915 0.000
Ge 4.296 5.848 0.000
Ge 5.848 2.466 0.000
CELL_PARAMETERS angstrom
6.762 0.000 0.000
0.000 6.762 0.000
0.000 0.000 4.530
```

Space-group type ... P4/mbm, No. 127
Energy ... -4.532 eV per atom
D(E_F) ... 0.66 states/eV per atom



The following is a DFT calculation (GGA-PBE) of a relaxed Sr2ZnGaIr crystal. Values from VASP.

Cell and atoms, written as Quantum ESPRESSO input:
```
&SYSTEM
  ibrav = 0, nat = 5, ntyp = 4
/
ATOMIC_SPECIES
Sr 87.62 Sr.upf
Zn 65.41 Zn.upf
Ga 69.72 Ga.upf
Ir 192.22 Ir.upf
ATOMIC_POSITIONS angstrom
Sr 0.000 2.918 0.000
Sr 2.918 0.000 0.000
Zn 0.000 0.000 2.395
Ga 2.918 2.918 2.395
Ir 2.918 2.918 0.000
CELL_PARAMETERS angstrom
5.836 0.000 0.000
0.000 5.836 0.000
0.000 0.000 4.790
```

Space-group type ... P4/mmm, No. 123
Energy ... -3.486 eV per atom
D(E_F) ... 0.59 states/eV per atom



The following is a DFT calculation (GGA-PBE) of a relaxed ZrPOF2 crystal. Values from VASP.

Cell and atoms, written as Quantum ESPRESSO input:
```
&SYSTEM
  ibrav = 0, nat = 5, ntyp = 4
/
ATOMIC_SPECIES
Zr 91.22 Zr.upf
P 30.97 P.upf
O 16.00 O.upf
F 19.00 F.upf
ATOMIC_POSITIONS angstrom
Zr 0.000 0.000 0.000
P 0.000 0.000 2.644
O 2.013 2.013 2.644
F 0.000 2.013 0.000
F 2.013 0.000 0.000
CELL_PARAMETERS angstrom
4.027 0.000 0.000
0.000 4.027 0.000
0.000 0.000 5.288
```

ΔE_f (raw) ... -1.41 eV per atom
Distance to the lowest polymorph of the same formula ... 463 meV/atom
Space-group type ... P4/mmm, No. 123
D(E_F) ... 0.54 states/eV per atom



The following is a DFT calculation (GGA-PBE) of a relaxed Sm2Zr2In3 crystal. Values from VASP.

Cell and atoms, written as Quantum ESPRESSO input:
```
&SYSTEM
  ibrav = 0, nat = 7, ntyp = 3
/
ATOMIC_SPECIES
Sm 150.36 Sm.upf
Zr 91.22 Zr.upf
In 114.82 In.upf
ATOMIC_POSITIONS angstrom
Sm 2.381 9.816 0.000
Sm 2.381 -9.816 0.000
Zr 2.381 6.640 0.000
Zr 2.381 -6.640 0.000
In 2.381 3.705 1.620
In 2.381 0.000 1.620
In 2.381 -3.705 1.620
CELL_PARAMETERS angstrom
2.381 -11.553 0.000
2.381 11.553 0.000
0.000 0.000 3.240
```

Space-group type ... Cmmm, No. 65
Energy ... -5.207 eV per atom
D(E_F) ... 0.93 states/eV per atom



The following is a DFT calculation (GGA-PBE) of a relaxed NaSm2SnTe4 crystal. Values from VASP.

Cell and atoms, written as Quantum ESPRESSO input:
```
&SYSTEM
  ibrav = 0, nat = 8, ntyp = 4
/
ATOMIC_SPECIES
Na 22.99 Na.upf
Sm 150.36 Sm.upf
Sn 118.71 Sn.upf
Te 127.60 Te.upf
ATOMIC_POSITIONS angstrom
Na 0.000 0.000 0.000
Sm 0.000 0.000 6.380
Sm 0.000 3.166 3.190
Sn 3.166 0.000 3.190
Te 3.166 0.000 0.008
Te 0.000 0.000 3.202
Te 3.166 0.000 6.372
Te 0.000 0.000 9.559
CELL_PARAMETERS angstrom
-3.166 3.166 6.380
3.166 -3.166 6.380
3.166 3.166 -6.380
```

ΔE_f (raw) ... -1.04 eV per atom
Space-group type ... I-4m2, No. 119
D(E_F) ... 0.46 states/eV per atom



The following is a DFT calculation (GGA-PBE) of a relaxed CS crystal. Values from VASP.

Cell and atoms, written as Quantum ESPRESSO input:
```
&SYSTEM
  ibrav = 0, nat = 16, ntyp = 2
/
ATOMIC_SPECIES
C 12.01 C.upf
S 32.06 S.upf
ATOMIC_POSITIONS angstrom
C 0.226 3.132 0.000
C 2.395 7.327 1.384
C 2.540 2.395 1.384
C 3.132 9.641 0.000
C 6.736 0.226 0.000
C 7.327 7.472 1.384
C 7.472 2.540 1.384
C 9.641 6.736 0.000
S 0.734 2.087 1.384
S 1.670 6.510 0.000
S 2.087 9.133 1.384
S 3.357 1.670 0.000
S 6.510 8.198 0.000
S 7.780 0.734 1.384
S 8.198 3.357 0.000
S 9.133 7.780 1.384
CELL_PARAMETERS angstrom
9.867 0.000 0.000
0.000 9.867 0.000
0.000 0.000 2.767
```

ΔE_f (raw) ... 1.35 eV per atom
Distance to the lowest polymorph of the same formula ... 127 meV/atom
Space-group type ... P4/m, No. 83



The following is a DFT calculation (GGA-PBE) of a relaxed AlMo2Rh crystal. Values from VASP.

Cell and atoms, written as Quantum ESPRESSO input:
```
&SYSTEM
  ibrav = 0, nat = 4, ntyp = 3
/
ATOMIC_SPECIES
Al 26.98 Al.upf
Mo 95.94 Mo.upf
Rh 102.91 Rh.upf
ATOMIC_POSITIONS angstrom
Al 0.000 0.000 0.000
Mo 1.386 1.386 1.958
Mo 1.386 1.386 5.866
Rh 0.000 0.000 3.912
CELL_PARAMETERS angstrom
2.773 0.000 0.000
0.000 2.773 0.000
0.000 0.000 7.824
```

Space-group type ... P4/mmm, No. 123
Energy ... -8.354 eV per atom
D(E_F) ... 0.66 states/eV per atom



The following is a DFT calculation (GGA-PBE) of a relaxed Nd3Ga2 crystal. Values from VASP.

Cell and atoms, written as Quantum ESPRESSO input:
```
&SYSTEM
  ibrav = 0, nat = 5, ntyp = 2
/
ATOMIC_SPECIES
Nd 144.24 Nd.upf
Ga 69.72 Ga.upf
ATOMIC_POSITIONS angstrom
Nd 0.000 0.000 0.000
Nd 2.555 1.522 4.173
Nd 5.102 3.030 2.157
Ga 2.560 1.528 1.060
Ga 5.097 3.024 5.271
CELL_PARAMETERS angstrom
5.107 0.000 0.000
2.511 4.487 0.000
0.039 0.066 6.330
```

Space-group type ... P-1, No. 2
Energy ... -4.426 eV per atom
D(E_F) ... 1.12 states/eV per atom



The following is a DFT calculation (GGA-PBE) of a relaxed K2TcBr crystal. Values from VASP.

Cell and atoms, written as Quantum ESPRESSO input:
```
&SYSTEM
  ibrav = 0, nat = 4, ntyp = 3
/
ATOMIC_SPECIES
K 39.10 K.upf
Tc 98.00 Tc.upf
Br 79.90 Br.upf
ATOMIC_POSITIONS angstrom
K 0.000 0.000 0.000
K 0.000 2.384 3.295
Tc 2.384 0.000 3.295
Br 0.000 0.000 6.589
CELL_PARAMETERS angstrom
-2.384 2.384 6.589
2.384 -2.384 6.589
2.384 2.384 -6.589
```

ΔE_f (raw) ... 0.53 eV per atom
Distance to the lowest polymorph of the same formula ... 207 meV/atom
Space-group type ... I-4m2, No. 119
D(E_F) ... 0.60 states/eV per atom



The following is a DFT calculation (GGA-PBE) of a relaxed TaCl crystal. Values from VASP.

Cell and atoms, written as Quantum ESPRESSO input:
```
&SYSTEM
  ibrav = 0, nat = 4, ntyp = 2
/
ATOMIC_SPECIES
Ta 180.95 Ta.upf
Cl 35.45 Cl.upf
ATOMIC_POSITIONS angstrom
Ta 0.961 0.961 0.690
Ta 2.884 2.884 4.293
Cl 0.961 2.884 2.492
Cl 2.884 0.961 2.492
CELL_PARAMETERS angstrom
3.845 0.000 0.000
0.000 3.845 0.000
0.000 0.000 4.983
```

ΔE_f (raw) ... 0.30 eV per atom
Space-group type ... P4/nmm, No. 129
D(E_F) ... 0.23 states/eV per atom



The following is a DFT calculation (GGA-PBE) of a relaxed Ce2Hg2Rh3 crystal. Values from VASP.

Cell and atoms, written as Quantum ESPRESSO input:
```
&SYSTEM
  ibrav = 0, nat = 7, ntyp = 3
/
ATOMIC_SPECIES
Ce 140.12 Ce.upf
Hg 200.59 Hg.upf
Rh 102.91 Rh.upf
ATOMIC_POSITIONS angstrom
Ce 0.002 0.114 2.007
Ce 1.946 4.000 5.123
Hg 0.005 1.192 5.747
Hg 1.944 2.922 1.382
Rh 0.003 3.027 3.512
Rh 1.942 0.000 0.000
Rh 1.946 1.087 3.617
CELL_PARAMETERS angstrom
3.884 0.000 0.000
-0.001 5.447 0.000
-1.934 -1.333 7.129
```

Distance to the lowest polymorph of the same formula ... 66 meV/atom
Space-group type ... P-1, No. 2
D(E_F) ... 0.72 states/eV per atom



Volume for every record listed, in sequence, given in Å³/cell: 207; 163; 86; 178; 256; 269; 60; 145; 150; 74; 151.
Theoretical density for every record listed, in sequence, given in g cm⁻³: 6.8; 5.1; 3.4; 7.7; 6.2; 2.2; 8.9; 6.5; 2.8; 9.8; 10.9.
Size of the total moment for every record listed, in sequence, given in μB per cell: 4.7; 0.0; 0.0; 0.0; 0.0; 0.0; 0.0; 0.0; 4.0; 0.0; 0.0.